(1)
The following is a PBE-GGA calculation of crystalline Tm3MgHg2 at its relaxed geometry, from Alexandria.

Geometry as extended XYZ:
```
6
Lattice="-3.2410 1.7666 0.1936 -1.1385 -2.5640 4.3357 3.9335 6.9875 2.0896" Properties=species:S:1:pos:R:3 pbc="T T T"
Hg 0.4745 0.4882 3.4888
Tm 0.0208 3.3502 5.0621
Hg 2.3205 3.9353 2.9365
Tm -2.1898 -0.3987 2.2647
Mg 0.0000 0.0000 0.0000
Tm -0.4668 2.8399 1.5568
```

Summary:
DOS(E_F), states/eV/cell: 4.82
SG: No. 65
E_form, eV/atom: -0.354
Energy relative to the lowest polymorph listed for this composition, meV/atom: 0.0

(2)
The following is a PBE-GGA calculation of crystalline TmMgHg2 at its relaxed geometry, from Alexandria.

Geometry as extended XYZ:
```
4
Lattice="-2.3249 -2.5265 1.0315 -0.6201 -2.8332 -2.1073 5.6581 -6.2463 3.6834" Properties=species:S:1:pos:R:3 pbc="T T T"
Tm 1.3624 -5.8069 1.3073
Hg 4.0673 -5.1778 2.7150
Hg 0.6029 -2.8509 0.6060
Mg -1.9629 -3.5734 -0.7170
```

Summary:
DOS(E_F), states/eV/cell: 1.77
SG: No. 160
E_form, eV/atom: -0.236
Energy relative to the lowest polymorph listed for this composition, meV/atom: 197.3

(3)
The following is a PBE-GGA calculation of crystalline Tm3MgHg at its relaxed geometry, from Alexandria.

Geometry as extended XYZ:
```
20
Lattice="6.6755 0.2024 -0.5749 3.4456 5.7211 -0.5749 2.6640 1.5592 14.4362" Properties=species:S:1:pos:R:3 pbc="T T T"
Tm 4.7668 5.7195 8.3101
Tm 8.0182 1.7631 4.9762
Tm 3.1479 4.1237 3.8758
Tm 7.8627 3.3261 0.6866
Tm 4.9223 4.1566 12.5997
Hg 3.3377 0.1012 -0.2875
Mg 4.3671 3.3996 0.6965
Hg 6.7954 4.5808 10.2522
Mg 6.3503 4.5603 5.3718
Mg 8.4179 4.0831 12.5899
Tm 6.3161 5.9779 2.1925
Tm 6.4690 1.5048 11.0939
Tm 8.0825 6.0061 7.9047
Hg 3.0548 3.6401 6.9306
Mg 6.4347 2.9223 7.9145
Tm 6.7959 6.9071 12.1943
Tm 5.9891 0.5756 1.0920
Tm 4.7026 1.4765 5.3816
Tm 9.6371 3.3590 9.4106
Hg 5.9897 2.9019 3.0341
```

Summary:
DOS(E_F), states/eV/cell: 22.03
SG: No. 15
E_form, eV/atom: -0.086
Energy relative to the lowest polymorph listed for this composition, meV/atom: 113.5

(4)
The following is a PBE-GGA calculation of crystalline Tm6MgHg5 at its relaxed geometry, from Alexandria.

Geometry as extended XYZ:
```
12
Lattice="-0.8764 3.5521 3.6496 -3.6298 4.1609 -4.9213 -4.4249 -7.4463 2.5262" Properties=species:S:1:pos:R:3 pbc="T T T"
Hg -4.4793 2.6597 -0.0057
Hg -4.4518 -2.3931 1.2602
Tm -3.1831 -0.1716 -0.5973
Hg -1.8149 2.0805 -2.4606
Tm -1.3797 2.8554 0.5483
Tm -3.1264 4.8576 -1.8200
Tm -5.7480 0.4383 1.8517
Hg -6.4521 -0.4123 -1.1480
Tm -4.9844 1.8932 -3.0395
Hg -2.4790 0.6789 2.4025
Tm -3.9467 -1.6266 4.2940
Mg 0.0000 0.0000 0.0000
```

Summary:
DOS(E_F), states/eV/cell: 8.89
SG: No. 71
E_form, eV/atom: -0.413

(5)
The following is a PBE-GGA calculation of crystalline TmMg2Hg9 at its relaxed geometry, from Alexandria.

Geometry as extended XYZ:
```
12
Lattice="-1.9057 -2.4495 3.3767 0.3715 -3.7973 -2.5450 12.0685 -2.2772 5.1593" Properties=species:S:1:pos:R:3 pbc="T T T"
Tm 0.0000 0.0000 0.0000
Hg 7.2335 -4.6330 3.8362
Hg 9.0495 -3.1121 5.9644
Hg 10.1881 -3.7860 3.0035
Hg 5.0814 -2.3634 4.2680
Mg 4.0677 -0.7675 1.7390
Hg 2.2518 -2.2885 -0.3892
Hg -0.7671 -3.1234 0.4159
Mg 8.0008 -1.5097 3.4203
Hg 1.1132 -1.6146 2.5716
Hg 6.2200 -3.0372 1.3072
Hg 3.3007 -3.8910 2.1549
```

Summary:
DOS(E_F), states/eV/cell: 5.13
SG: No. 123
E_form, eV/atom: -0.146

(6)
The following is a PBE-GGA calculation of crystalline Tm2MgHg2 at its relaxed geometry, from Alexandria.

Geometry as extended XYZ:
```
10
Lattice="3.8955 0.0000 0.0000 0.0000 8.0270 0.0000 0.0000 0.0000 8.0270" Properties=species:S:1:pos:R:3 pbc="T T T"
Tm 1.9477 5.3323 6.7082
Hg 0.0000 6.9355 5.1050
Hg 0.0000 2.9220 6.9355
Hg 0.0000 1.0915 2.9220
Tm 1.9477 2.6947 1.3188
Mg 0.0000 0.0000 0.0000
Tm 1.9477 6.7082 2.6947
Hg 0.0000 5.1050 1.0915
Tm 1.9477 1.3188 5.3323
Mg 0.0000 4.0135 4.0135
```

Summary:
DOS(E_F), states/eV/cell: 7.11
SG: No. 127
E_form, eV/atom: -0.390

(7)
The following is a PBE-GGA calculation of crystalline Tm3Mg2Hg2 at its relaxed geometry, from Alexandria.

Geometry as extended XYZ:
```
7
Lattice="-2.5072 2.7847 -2.5734 -1.5357 -2.6620 -1.3844 -9.2349 1.7508 6.8772" Properties=species:S:1:pos:R:3 pbc="T T T"
Tm -6.9296 1.6473 4.5192
Tm -4.8125 2.8882 -0.2153
Mg -7.8197 1.6578 1.3831
Hg -10.0181 1.7565 3.6318
Hg -3.2596 0.1170 -0.7124
Tm 0.0000 0.0000 0.0000
Mg -5.4580 0.2157 1.5363
```

Summary:
DOS(E_F), states/eV/cell: 5.81
SG: No. 65
E_form, eV/atom: -0.185

(8)
The following is a PBE-GGA calculation of crystalline Tm2MgHg6 at its relaxed geometry, from Alexandria.

Geometry as extended XYZ:
```
18
Lattice="-3.3047 1.8709 -3.8716 -7.5123 -3.1756 5.0414 3.5700 8.7934 1.3656" Properties=species:S:1:pos:R:3 pbc="T T T"
Mg -7.2233 1.2165 1.2197
Tm -3.3666 4.2735 -2.5759
Hg -8.5188 -0.7237 3.3144
Hg -6.2118 1.2151 4.2475
Hg -2.3219 8.1362 0.4734
Hg 1.2718 8.2124 -0.7791
Tm -3.6849 6.1463 2.5625
Hg -2.3219 4.3314 0.4137
Hg -5.9237 3.1615 -0.8756
Hg -1.0352 6.2737 -1.7121
Hg -1.0343 10.0797 -1.6519
Hg -4.9251 3.1573 2.1217
Hg -1.3233 4.3272 3.4109
Tm -3.8804 3.2152 5.1112
Hg -4.9251 -0.6475 2.0619
Tm -3.5621 1.3424 -0.0272
Mg -0.0237 6.2722 1.3156
Hg -6.2127 -2.5910 4.1872
```

Summary:
DOS(E_F), states/eV/cell: 5.48
SG: No. 15
E_form, eV/atom: -0.291

(9)
The following is a PBE-GGA calculation of crystalline Tm3Mg2Hg at its relaxed geometry, from Alexandria.

Geometry as extended XYZ:
```
6
Lattice="-3.0974 -0.1672 2.1104 0.1936 -3.7468 -0.0127 6.1652 0.2878 9.0715" Properties=species:S:1:pos:R:3 pbc="T T T"
Tm 2.0880 0.0975 3.0723
Hg 1.6307 -1.8131 5.5846
Mg -0.4293 -1.9093 2.5536
Mg 3.6907 -1.7169 8.6156
Tm 0.0000 0.0000 0.0000
Tm 4.0772 0.1903 5.9992
```

Summary:
DOS(E_F), states/eV/cell: 6.30
SG: No. 123
E_form, eV/atom: -0.201

(10)
The following is a PBE-GGA calculation of crystalline TmMgHg at its relaxed geometry, from Alexandria.

Geometry as extended XYZ:
```
3
Lattice="4.8612 0.0000 0.0000 2.4306 4.2099 0.0000 2.4306 1.4033 3.9692" Properties=species:S:1:pos:R:3 pbc="T T T"
Hg 2.4306 1.4033 0.9923
Mg 4.8612 2.8066 1.9846
Tm 0.0000 0.0000 0.0000
```

Summary:
DOS(E_F), states/eV/cell: 4.17
SG: No. 216
E_form, eV/atom: -0.183

(11)
The following is a PBE-GGA calculation of crystalline Tm5Mg2Hg12 at its relaxed geometry, from Alexandria.

Geometry as extended XYZ:
```
19
Lattice="8.9587 0.0000 0.0000 -4.4794 7.1715 0.9992 0.0000 -1.1234 6.9992" Properties=species:S:1:pos:R:3 pbc="T T T"
Tm 0.0000 3.1365 3.5725
Mg 2.3337 0.0000 0.0000
Hg 6.5282 1.3126 2.6967
Hg 4.4794 4.6074 7.1453
Hg 2.6195 4.5143 2.2966
Hg -2.0489 4.7355 5.3017
Tm 0.0000 3.4385 7.2784
Hg -2.6195 4.5143 2.2966
Tm 0.0000 -0.5617 3.4996
Mg 6.6250 0.0000 0.0000
Hg 2.4305 1.3126 2.6967
Hg 1.8599 1.5338 5.7018
Hg 0.0000 1.4407 0.8531
Hg 4.4794 -0.2882 5.1589
Hg 7.0989 1.5338 5.7018
Hg 0.0000 6.3363 2.8395
Tm 4.4794 2.9116 4.4259
Hg 2.0489 4.7355 5.3017
Tm 4.4794 2.6096 0.7200
```

Summary:
DOS(E_F), states/eV/cell: 9.21
SG: No. 12
E_form, eV/atom: -0.271

(12)
The following is a PBE-GGA calculation of crystalline TmMg2Hg at its relaxed geometry, from Alexandria.

Geometry as extended XYZ:
```
4
Lattice="5.0335 0.0000 0.0000 2.5167 4.3591 0.0000 2.5167 1.4530 4.1098" Properties=species:S:1:pos:R:3 pbc="T T T"
Mg 7.5502 4.3591 3.0824
Hg 5.0335 2.9061 2.0549
Tm 0.0000 0.0000 0.0000
Mg 2.5167 1.4530 1.0275
```

Summary:
DOS(E_F), states/eV/cell: 2.37
SG: No. 225
E_form, eV/atom: -0.095
Energy relative to the lowest polymorph listed for this composition, meV/atom: 145.9